No. 1
MgTiAl3: single point on PBEsol structure, meta-GGA SCAN.

a = 4.910 Å, b = 4.910 Å, c = 4.910 Å
α = 90.00°, β = 90.00°, γ = 90.00°
Sites, in units of the cell vectors:
Mg: 0.000 0.000 0.000
Ti: 0.500 0.500 0.500
Al: 0.000 0.500 0.500
Al: 0.500 0.000 0.500
Al: 0.500 0.500 0.000

## Properties
Its energy of formation is 0.695 eV/atom. The total magnetization is 1.38 μB per formula unit. The calculation puts the final energy at -8.156 eV per atom.

No. 2
Li2HgPt: single point on PBEsol structure, meta-GGA SCAN.

a = 2.881 Å, b = 3.706 Å, c = 5.567 Å
α = 90.00°, β = 90.00°, γ = 90.00°
Sites, in units of the cell vectors:
Li: 0.000 0.000 0.220
Li: 0.000 0.000 0.780
Hg: 0.500 0.500 0.500
Pt: 0.500 0.500 0.000

## Properties
Its energy of formation is -0.539 eV/atom. The total magnetization is 0.00 μB per formula unit. The calculation puts the final energy at -36.323 eV per atom.